Material: Li2TcSe
Method: DFT, PBE-GGA
State: relaxed

Calculated values
Symmetry: Cm (8)
Volume (Å³ per atom): 15.193
Magnetization (μB/atom): 0.001
Electronic total energy (eV per atom): -4.59

Cell: 4.664 4.664 4.898 Å, 67.87 67.87 38.46°
Sites, in units of the cell vectors:
1 Li 0.007 0.007 0.961
2 Li 0.775 0.775 0.802
3 Se 0.499 0.499 0.383
4 Tc 0.219 0.219 0.354

Material: LiCe2CdO6
Method: DFT, PBE-GGA
State: relaxed

Calculated values
Symmetry: P4mm (99)
Volume (Å³ per atom): 14.458
Magnetization (μB/atom): 0.000
Electronic total energy (eV per atom): -6.60

Cell: 5.532 5.112 5.112 Å, 90.00 90.00 90.00°
Sites, in units of the cell vectors:
1 Li 0.565 0.000 0.000
2 Ce 0.992 0.500 0.000
3 Ce 0.992 0.000 0.500
4 Cd 0.530 0.500 0.500
5 O 0.758 0.244 0.244
6 O 0.758 0.244 0.756
7 O 0.150 0.500 0.500
8 O 0.184 0.000 0.000
9 O 0.758 0.756 0.756
10 O 0.758 0.756 0.244

Material: KNaCa2I
Method: DFT, PBE-GGA
State: relaxed

Calculated values
Symmetry: P4/mmm (123)
Volume (Å³ per atom): 50.339
Magnetization (μB/atom): 0.000
Electronic total energy (eV per atom): -1.70

Cell: 6.279 6.385 6.279 Å, 90.00 90.00 90.00°
Sites, in units of the cell vectors:
1 I 0.000 0.000 0.000
2 Na 0.000 0.500 0.000
3 Ca 0.000 0.000 0.500
4 Ca 0.500 0.000 0.000
5 K 0.500 0.500 0.500

Material: Dy5In2Rh
Method: DFT, PBE-GGA
State: relaxed

Calculated values
Symmetry: Pbam (55)
Volume (Å³ per atom): 26.958
Magnetization (μB/atom): 0.000
Electronic total energy (eV per atom): -4.97

Cell: 4.823 7.219 12.390 Å, 90.00 90.00 90.00°
Sites, in units of the cell vectors:
1 Dy 0.000 0.000 0.500
2 Dy 0.000 0.500 0.000
3 Dy 0.000 0.874 0.210
4 Dy 0.000 0.126 0.790
5 Dy 0.000 0.626 0.710
6 Dy 0.000 0.374 0.290
7 Dy 0.500 0.678 0.418
8 Dy 0.500 0.322 0.582
9 Dy 0.500 0.822 0.918
10 Dy 0.500 0.178 0.082
11 In 0.500 0.596 0.162
12 In 0.500 0.404 0.838
13 In 0.500 0.904 0.662
14 In 0.500 0.096 0.338
15 Rh 0.000 0.500 0.500
16 Rh 0.000 0.000 0.000

Material: YRh2Pb
Method: DFT, PBE-GGA
State: relaxed

Calculated values
Symmetry: P4/mmm (123)
Volume (Å³ per atom): 19.297
Magnetization (μB/atom): 0.000
Electronic total energy (eV per atom): -6.76

Cell: 3.729 4.550 4.550 Å, 90.00 90.00 90.00°
Sites, in units of the cell vectors:
1 Pb 0.500 0.000 0.500
2 Y 0.500 0.500 0.000
3 Rh 0.000 0.000 0.000
4 Rh 0.000 0.500 0.500

Material: InBr2Cl
Method: DFT, PBE-GGA
State: relaxed

Calculated values
Symmetry: Cc (9)
Volume (Å³ per atom): 38.392
Energy above the lowest structure with this stoichiometry (eV per atom): 0.040
Magnetization (μB/atom): 0.000
Electronic total energy (eV per atom): -2.85

Cell: 7.516 12.617 8.470 Å, 90.00 130.11 90.00°
Sites, in units of the cell vectors:
1 Cl 0.708 0.424 0.437
2 Cl 0.208 0.576 0.937
3 Cl 0.708 0.924 0.937
4 Cl 0.208 0.076 0.437
5 Br 0.862 0.668 0.358
6 Br 0.362 0.332 0.858
7 Br 0.862 0.168 0.858
8 Br 0.362 0.832 0.358
9 Br 0.037 0.416 0.271
10 Br 0.537 0.584 0.771
11 Br 0.037 0.916 0.771
12 Br 0.537 0.084 0.271
13 In 0.616 0.500 0.107
14 In 0.116 0.500 0.607
15 In 0.616 0.000 0.607
16 In 0.116 0.000 0.107

Material: Ho4Ag2Rh
Method: DFT, PBE-GGA
State: relaxed

Calculated values
Symmetry: R-3m (166)
Volume (Å³ per atom): 25.091
Magnetization (μB/atom): 0.000
Electronic total energy (eV per atom): -4.82

Cell: 5.003 5.003 8.603 Å, 73.10 73.10 60.00°
Sites, in units of the cell vectors:
1 Ho 0.878 0.878 0.365
2 Ho 0.122 0.122 0.635
3 Ho 0.628 0.628 0.117
4 Ho 0.372 0.372 0.883
5 Ag 0.752 0.752 0.743
6 Ag 0.248 0.248 0.257
7 Rh 0.000 0.000 0.000

Material: Y15Ho2Tm2
Method: DFT, PBE-GGA
State: relaxed

Calculated values
Symmetry: R-3m (166)
Volume (Å³ per atom): 33.661
Magnetization (μB/atom): 0.000
Electronic total energy (eV per atom): -5.75

Cell: 8.755 8.755 8.755 Å, 79.24 79.24 79.24°
Sites, in units of the cell vectors:
1 Y 0.000 0.000 0.500
2 Y 0.500 0.000 0.000
3 Y 0.000 0.500 0.000
4 Y 0.298 0.702 0.000
5 Y 0.000 0.298 0.702
6 Y 0.702 0.000 0.298
7 Y 0.000 0.702 0.298
8 Y 0.298 0.000 0.702
9 Y 0.702 0.298 0.000
10 Y 0.628 0.628 0.149
11 Y 0.149 0.628 0.628
12 Y 0.628 0.149 0.628
13 Y 0.372 0.372 0.851
14 Y 0.851 0.372 0.372
15 Y 0.372 0.851 0.372
16 Ho 0.319 0.319 0.319
17 Ho 0.681 0.681 0.681
18 Tm 0.095 0.095 0.095
19 Tm 0.905 0.905 0.905

Material: BaCa2MgSe4
Method: DFT, PBE-GGA
State: relaxed

Calculated values
Symmetry: Cmcm (63)
Volume (Å³ per atom): 28.759
Magnetization (μB/atom): 0.000
Electronic total energy (eV per atom): -4.48

Cell: 4.306 7.575 14.713 Å, 90.00 90.00 106.51°
Sites, in units of the cell vectors:
1 Ba 0.121 0.242 0.750
2 Ba 0.879 0.758 0.250
3 Ca 0.372 0.744 0.549
4 Ca 0.628 0.256 0.049
5 Ca 0.628 0.256 0.451
6 Ca 0.372 0.744 0.951
7 Mg 0.848 0.697 0.750
8 Mg 0.152 0.303 0.250
9 Se 0.262 0.524 0.117
10 Se 0.738 0.476 0.617
11 Se 0.738 0.476 0.883
12 Se 0.262 0.524 0.383
13 Se 0.000 0.000 0.500
14 Se 0.000 0.000 0.000
15 Se 0.446 0.892 0.750
16 Se 0.554 0.108 0.250

Material: PrPaN
Method: DFT, PBE-GGA
State: relaxed

Calculated values
Symmetry: P3m1 (156)
Volume (Å³ per atom): 22.536
Energy above the lowest structure with this stoichiometry (eV per atom): 0.032
Magnetization (μB/atom): 0.116
Electronic total energy (eV per atom): -8.26

Cell: 6.094 3.579 3.579 Å, 120.00 90.00 90.00°
Each line ends with the local moment (μB).
Sites, in units of the cell vectors:
1 Pr 0.751 0.667 0.333  0.03
2 Pa 0.216 0.333 0.667  0.18
3 N 0.033 0.000 0.000  0.00

Material: LaZnMo2N
Method: DFT, PBE-GGA
State: relaxed

Calculated values
Symmetry: P4/mmm (123)
Volume (Å³ per atom): 20.287
Magnetization (μB/atom): 0.000
Electronic total energy (eV per atom): -5.07

Cell: 4.988 4.076 4.988 Å, 90.00 90.00 90.00°
Sites, in units of the cell vectors:
1 Mo 0.000 0.000 0.500
2 Mo 0.500 0.000 0.000
3 N 0.000 0.500 0.000
4 Zn 0.500 0.500 0.500
5 La 0.000 0.000 0.000

Material: Gd2SiAu
Method: DFT, PBE-GGA
State: relaxed

Calculated values
Symmetry: P4/mmm (123)
Volume (Å³ per atom): 23.209
Magnetization (μB/atom): 3.561
Electronic total energy (eV per atom): -9.90

Cell: 3.573 3.573 7.273 Å, 90.00 90.00 90.00°
Each line ends with the local moment (μB).
Sites, in units of the cell vectors:
1 Si 0.500 0.500 0.000  -0.06
2 Gd 0.000 0.000 0.759  7.03
3 Gd 0.000 0.000 0.241  7.03
4 Au 0.500 0.500 0.500  0.01

Material: Na2HfFe
Method: DFT, PBE-GGA
State: relaxed

Calculated values
Symmetry: Fm-3m (225)
Volume (Å³ per atom): 19.459
Energy above the lowest structure with this stoichiometry (eV per atom): 0.685
Magnetization (μB/atom): 0.000
Electronic total energy (eV per atom): -3.85

Cell: 4.793 4.793 4.793 Å, 60.00 60.00 60.00°
Sites, in units of the cell vectors:
1 Na 0.250 0.250 0.250
2 Na 0.750 0.750 0.750
3 Hf 0.500 0.500 0.500
4 Fe 0.000 0.000 0.000